Record 1
The following is a DFT calculation (PBE+U) of crystalline FeSnF3 at its relaxed geometry.

```
FeSnF3
1.0
4.605 0.000 0.000
0.000 4.605 0.000
0.000 0.000 4.605
F Fe Sn
3 1 1
direct
0.000 0.500 0.000
0.000 0.000 0.500
0.500 0.000 0.000
0.500 0.500 0.500
0.000 0.000 0.000
```

distance to the lowest polymorph of the same formula = 1.12 eV per formula unit
crystal system = cubic

***

Record 2
The following is a DFT calculation (PBE+U) of crystalline Fe3SnF at its relaxed geometry.

```
Fe3SnF
1.0
4.345 0.000 0.000
0.000 4.345 0.000
0.000 0.000 4.345
F Sn Fe
1 1 3
direct
0.000 0.000 0.000
0.500 0.500 0.500
0.000 0.500 0.000
0.000 0.000 0.500
0.500 0.000 0.000
```

distance to the lowest polymorph of the same formula = 0.00 eV per formula unit
crystal system = cubic

***

Record 3
The following is a DFT calculation (PBE+U) of crystalline Fe2SnF6 at its relaxed geometry.

```
Fe2SnF6
1.0
5.257 0.000 0.000
0.000 4.721 -2.725
0.000 0.000 5.451
Fe Sn F
2 1 6
direct
0.500 0.667 0.333
0.500 0.333 0.667
0.000 0.000 0.000
0.717 0.648 0.648
0.283 0.648 0.000
0.283 0.000 0.648
0.717 0.352 0.000
0.283 0.352 0.352
0.717 0.000 0.352
```

total DFT energy (no corrections) = -45.79 eV for the cell shown
crystal system = trigonal

***

Record 4
The following is a DFT calculation (PBE+U) of crystalline FeSn2F11 at its relaxed geometry.

```
FeSn2F11
1.0
-2.132 0.432 7.487
4.395 -3.793 5.530
3.185 5.713 4.637
Fe Sn F
2 4 22
direct
0.750 0.750 0.750
0.250 0.250 0.250
0.625 0.691 0.309
0.375 0.309 0.691
0.875 0.191 0.809
0.125 0.809 0.191
0.572 0.760 0.553
0.428 0.240 0.447
0.115 0.553 0.760
0.928 0.947 0.740
0.885 0.447 0.240
0.072 0.053 0.260
0.385 0.740 0.947
0.615 0.260 0.053
0.500 0.500 0.500
0.000 0.000 0.000
0.864 0.787 0.213
0.136 0.213 0.787
0.636 0.287 0.713
0.364 0.713 0.287
0.452 0.991 0.267
0.548 0.009 0.733
0.290 0.267 0.991
0.048 0.233 0.509
0.710 0.733 0.009
0.952 0.767 0.491
0.210 0.509 0.233
0.790 0.491 0.767
```

total DFT energy (no corrections) = -132.60 eV for the cell shown
crystal system = orthorhombic